Compound: SrCu3N
Source: Alexandria
Functional: GGA-PBE
Structure: optimized geometry

The structure belongs to space group Pm-3m (No. 221); the cell edges are 4.287, 4.287 and 4.287 Å and the angles 90.00°, 90.00° and 90.00°. The distinct sites, in fractional coordinates, are Sr at (0.000, 0.000, 0.000), Cu at (0.000, 0.500, 0.500) and N at (0.500, 0.500, 0.500).

The raw total energy is -4.039 eV/atom. The value obtained for the uncorrected formation energy is 0.42 eV per atom. The density of states at the Fermi level is 0.404 states/eV per atom.

---

Compound: SrCuNi2
Source: Alexandria
Functional: GGA-PBE
Structure: optimized geometry

The structure belongs to space group F-43m (No. 216); the cell edges are 6.470, 6.470 and 6.470 Å and the angles 90.00°, 90.00° and 90.00°. The distinct sites, in fractional coordinates, are Sr at (0.000, 0.000, 0.000), Cu at (0.250, 0.250, 0.750), Ni at (0.000, 0.000, 0.500) and Ni at (0.250, 0.250, 0.250).

The raw total energy is -3.906 eV/atom. The formation energy is 0.429 eV/atom. The density of states at the Fermi level is 0.757 states/eV per atom. For the energy relative to the lowest polymorph listed for this composition, the calculation gives 0.499 eV/atom.

---

Compound: SbTeBr2
Source: Alexandria
Functional: GGA-PBE
Structure: optimized geometry

The structure belongs to space group Imm2 (No. 44); the cell edges are 3.952, 4.924 and 14.093 Å and the angles 90.00°, 90.00° and 90.00°. The distinct sites, in fractional coordinates, are Sb at (0.000, 0.000, 0.000), Te at (0.000, 0.500, 0.648), Br at (0.000, 0.000, 0.439) and Br at (0.000, 0.500, 0.191).

The raw total energy is -2.735 eV/atom. The value obtained for the uncorrected formation energy is -0.08 eV per atom. The density of states at the Fermi level is 0.548 states/eV per atom. For the energy relative to the lowest polymorph listed for this composition, the calculation gives 0.212 eV/atom.

---

Compound: Pm3PrYTm
Source: Alexandria
Functional: GGA-PBE
Structure: optimized geometry

The structure belongs to space group P2_1/m (No. 11); the cell edges are 8.082, 5.139 and 10.255 Å and the angles 90.00°, 108.58° and 90.00°. The distinct sites, in fractional coordinates, are Pm at (0.168, 0.250, 0.042), Pm at (0.169, 0.750, 0.791), Pm at (0.171, 0.250, 0.542), Pr at (0.169, 0.750, 0.293), Y at (0.500, 0.250, 0.874) and Tm at (0.500, 0.250, 0.375).

The raw total energy is -4.972 eV/atom. The formation energy is 0.023 eV/atom. The density of states at the Fermi level is 1.525 states/eV per atom.

---

Compound: K2Al2V
Source: Alexandria
Functional: GGA-PBE
Structure: optimized geometry

The structure belongs to space group P4/mbm (No. 127); the cell edges are 10.271, 10.271 and 3.018 Å and the angles 90.00°, 90.00° and 90.00°. The distinct sites, in fractional coordinates, are K at (0.200, 0.300, 0.000), Al at (0.090, 0.590, 0.500) and V at (0.000, 0.000, 0.000).

The raw total energy is -2.781 eV/atom. The formation energy is 0.979 eV/atom. The density of states at the Fermi level is 1.210 states/eV per atom. For the energy relative to the lowest polymorph listed for this composition, the calculation gives 0.156 eV/atom.

---

Compound: MgTiTeN2
Source: Alexandria
Functional: GGA-PBE
Structure: optimized geometry

The structure belongs to space group P4/mmm (No. 123); the cell edges are 3.978, 3.978 and 5.452 Å and the angles 90.00°, 90.00° and 90.00°. The distinct sites, in fractional coordinates, are Mg at (0.000, 0.000, 0.000), Ti at (0.500, 0.500, 0.500), Te at (0.000, 0.000, 0.500) and N at (0.000, 0.500, 0.000).

The raw total energy is -4.735 eV/atom. The value obtained for the uncorrected formation energy is 1.12 eV per atom. The density of states at the Fermi level is 0.949 states/eV per atom. For the energy relative to the lowest polymorph listed for this composition, the calculation gives 1.079 eV/atom.